[1]
The following is a PBE calculation of an optimized crystal structure of Rb3LiTh3Te8, from the Alexandria database.

Properties
- symmetry = R-3m (166)
- formation energy (no corrections) (meV per atom) = -1170
- total DFT energy (no corrections) (Ry/atom) = -0.3418

a = 9.169 Å, b = 9.169 Å, c = 10.142 Å
α = 116.87°, β = 90.00°, γ = 120.00°
Atoms (fractional coordinates):
Rb 0.000 0.000 0.000
Rb 0.000 0.500 0.000
Rb 0.500 0.500 0.000
Li 0.000 0.000 0.500
Th 0.500 0.000 0.500
Th 0.500 0.500 0.500
Th 0.000 0.500 0.500
Te 0.264 0.528 0.292
Te 0.736 0.472 0.708
Te 0.765 0.529 0.304
Te 0.235 0.471 0.696
Te 0.764 0.040 0.304
Te 0.236 0.960 0.696
Te 0.276 0.040 0.304
Te 0.724 0.960 0.696

=====

[2]
The following is a PBE calculation of an optimized crystal structure of Rb2Li2ThTe4, from the Alexandria database.

Properties
- symmetry = C2/m (12)
- formation energy (no corrections) (meV per atom) = -1186
- total DFT energy (no corrections) (Ry/atom) = -0.2974

a = 4.646 Å, b = 8.632 Å, c = 8.762 Å
α = 108.95°, β = 105.38°, γ = 90.00°
Atoms (fractional coordinates):
Rb 0.139 0.566 0.277
Rb 0.861 0.434 0.723
Li 0.681 0.987 0.363
Li 0.319 0.013 0.637
Th 0.000 0.000 0.000
Te 0.196 0.174 0.392
Te 0.804 0.826 0.608
Te 0.516 0.763 0.032
Te 0.484 0.237 0.968

=====

[3]
The following is a PBE calculation of an optimized crystal structure of Rb4LiTh3Te8, from the Alexandria database.

Properties
- symmetry = R-3m (166)
- formation energy (no corrections) (meV per atom) = -1177
- total DFT energy (no corrections) (Ry/atom) = -0.3308

a = 9.209 Å, b = 10.068 Å, c = 9.210 Å
α = 117.22°, β = 120.00°, γ = 90.00°
Atoms (fractional coordinates):
Rb 0.500 0.000 0.000
Rb 0.500 0.000 0.500
Rb 0.000 0.000 0.000
Rb 0.000 0.000 0.500
Li 0.000 0.500 0.000
Th 0.500 0.500 0.000
Th 0.500 0.500 0.500
Th 0.000 0.500 0.500
Te 0.235 0.700 0.965
Te 0.235 0.700 0.470
Te 0.264 0.292 0.528
Te 0.731 0.700 0.965
Te 0.269 0.300 0.035
Te 0.736 0.708 0.472
Te 0.765 0.300 0.530
Te 0.765 0.300 0.035

=====

[4]
The following is a PBE calculation of an optimized crystal structure of Rb2LiTiTe4, from the Alexandria database.

Properties
- symmetry = Fddd (70)
- formation energy (no corrections) (meV per atom) = -823
- total DFT energy (no corrections) (Ry/atom) = -0.2838

a = 6.471 Å, b = 8.158 Å, c = 13.069 Å
α = 84.36°, β = 75.66°, γ = 66.63°
Atoms (fractional coordinates):
Rb 0.181 0.000 0.639
Rb 0.819 0.000 0.361
Rb 0.569 0.500 0.861
Rb 0.931 0.500 0.139
Li 0.750 0.500 0.500
Li 0.000 0.000 0.000
Ti 0.250 0.500 0.500
Ti 0.500 0.000 0.000
Te 0.313 0.793 0.117
Te 0.223 0.207 0.883
Te 0.894 0.793 0.883
Te 0.570 0.207 0.117
Te 0.437 0.707 0.383
Te 0.527 0.293 0.617
Te 0.856 0.707 0.617
Te 0.180 0.293 0.383

=====

[5]
The following is a PBE calculation of an optimized crystal structure of RbLiTl2Te2, from the Alexandria database.

Properties
- symmetry = Pmc2_1 (26)
- formation energy (no corrections) (meV per atom) = -643
- total DFT energy (no corrections) (Ry/atom) = -0.2175

a = 4.836 Å, b = 8.171 Å, c = 11.286 Å
α = 90.00°, β = 90.00°, γ = 90.00°
Atoms (fractional coordinates):
Rb 0.000 0.023 0.479
Rb 0.000 0.523 0.521
Li 0.500 0.110 0.745
Li 0.500 0.610 0.255
Tl 0.500 0.000 0.112
Tl 0.000 0.367 0.134
Tl 0.500 0.500 0.888
Tl 0.000 0.867 0.866
Te 0.000 0.259 0.779
Te 0.500 0.288 0.323
Te 0.000 0.759 0.221
Te 0.500 0.788 0.677

=====

[6]
The following is a PBE calculation of an optimized crystal structure of RbLiTlTe, from the Alexandria database.

Properties
- symmetry = P4/nmm (129)
- formation energy (no corrections) (meV per atom) = -651
- total DFT energy (no corrections) (Ry/atom) = -0.2020

a = 4.714 Å, b = 4.714 Å, c = 13.385 Å
α = 90.00°, β = 90.00°, γ = 90.00°
Atoms (fractional coordinates):
Rb 0.750 0.750 0.220
Rb 0.250 0.250 0.780
Li 0.750 0.250 0.000
Li 0.250 0.750 0.000
Tl 0.250 0.750 0.500
Tl 0.750 0.250 0.500
Te 0.750 0.750 0.883
Te 0.250 0.250 0.117

=====

[7]
The following is a PBE calculation of an optimized crystal structure of Rb2LiTlTe2, from the Alexandria database.

Properties
- symmetry = Ibam (72)
- formation energy (no corrections) (meV per atom) = -829
- total DFT energy (no corrections) (Ry/atom) = -0.2141

a = 7.651 Å, b = 7.313 Å, c = 9.779 Å
α = 111.96°, β = 113.03°, γ = 90.00°
Atoms (fractional coordinates):
Rb 0.412 0.169 0.337
Rb 0.588 0.831 0.663
Rb 0.075 0.331 0.663
Rb 0.925 0.669 0.337
Li 0.500 0.750 0.000
Li 0.500 0.250 0.000
Tl 0.000 0.750 0.000
Tl 0.000 0.250 0.000
Te 0.810 0.105 0.211
Te 0.401 0.605 0.211
Te 0.599 0.395 0.789
Te 0.190 0.895 0.789

=====

[8]
The following is a PBE calculation of an optimized crystal structure of RbLiTm2Te4, from the Alexandria database.

Properties
- symmetry = Cmcm (63)
- formation energy (no corrections) (meV per atom) = -1281
- total DFT energy (no corrections) (Ry/atom) = -0.3182

a = 4.457 Å, b = 7.843 Å, c = 15.661 Å
α = 90.00°, β = 90.00°, γ = 106.51°
Atoms (fractional coordinates):
Rb 0.113 0.226 0.750
Rb 0.887 0.774 0.250
Li 0.832 0.664 0.750
Li 0.168 0.336 0.250
Tm 0.367 0.734 0.564
Tm 0.633 0.266 0.064
Tm 0.633 0.266 0.436
Tm 0.367 0.734 0.936
Te 0.264 0.529 0.105
Te 0.736 0.471 0.605
Te 0.736 0.471 0.895
Te 0.264 0.529 0.395
Te 0.000 0.000 0.500
Te 0.000 0.000 0.000
Te 0.430 0.860 0.750
Te 0.570 0.140 0.250

=====

Q: The lowest formation energy (no corrections) belongs to which entry?
A: RbLiTm2Te4

=====

Q: Which value of total DFT energy (no corrections) does entry 6 give?
A: -0.2020 Ry/atom

=====

Repeat the sixth record exactly.
The following is a PBE calculation of an optimized crystal structure of RbLiTlTe, from the Alexandria database.

Properties
- symmetry = P4/nmm (129)
- formation energy (no corrections) (meV per atom) = -651
- total DFT energy (no corrections) (Ry/atom) = -0.2020

a = 4.714 Å, b = 4.714 Å, c = 13.385 Å
α = 90.00°, β = 90.00°, γ = 90.00°
Atoms (fractional coordinates):
Rb 0.750 0.750 0.220
Rb 0.250 0.250 0.780
Li 0.750 0.250 0.000
Li 0.250 0.750 0.000
Tl 0.250 0.750 0.500
Tl 0.750 0.250 0.500
Te 0.750 0.750 0.883
Te 0.250 0.250 0.117